# Li2MnFe

Li2MnFe at its PBEsol-relaxed geometry (meta-GGA SCAN, Alexandria).

```
4
Lattice="2.287 0.000 0.000 0.000 4.494 0.000 0.000 -2.247 4.344" Properties=species:S:1:pos:R:3 pbc="T T T"
Fe 1.144 2.247 0.000
Li 0.000 -1.123 2.172
Li 0.000 1.123 2.172
Mn 1.144 0.000 0.000
```

Raw total energy   -9.810 eV/atom
Formation energy   481 meV per atom
Symmetry   Cmmm, No. 65